[1]
Ge2AuSe2 after structural relaxation. Source: the Alexandria database, functional PBE.

Properties
SG ... No. 139
Formation energy (no corrections) ... 0.082 eV per atom
Relative energy among the computed polymorphs ... 108 kJ/mol of formula units
Calculated volume ... 124 Å³/f.u.

abc: 5.529 5.529 5.632
angles: 60.61 60.61 90.00
Sites, in units of the cell vectors:
Se  0.697  0.697  0.606
Se  0.303  0.303  0.394
Au  0.000  0.000  0.000
Ge  0.750  0.250  0.500
Ge  0.250  0.750  0.500



[2]
CdGaB after structural relaxation. Source: the Alexandria database, functional PBE.

Properties
SG ... No. 1
Energy relative to the elements ... 290 meV per atom
Calculated volume ... 57 Å³/f.u.

abc: 8.058 4.784 3.102
angles: 88.36 89.59 72.81
Sites, in units of the cell vectors:
B  0.502  0.018  0.287
B  0.530  0.003  0.787
Cd  0.966  0.285  0.794
Cd  0.825  0.855  0.292
Ga  0.276  0.401  0.512
Ga  0.282  0.853  0.016



[3]
BaS6F2 after structural relaxation. Source: the Alexandria database, functional PBE.

Properties
SG ... No. 2
Formation energy (no corrections) ... -1.089 eV per atom
Calculated volume ... 242 Å³/f.u.

abc: 4.182 7.646 7.646
angles: 92.80 84.87 84.64
Sites, in units of the cell vectors:
S  0.155  0.321  0.321
S  0.912  0.560  0.266
S  0.845  0.679  0.679
S  0.085  0.734  0.440
S  0.915  0.266  0.560
S  0.088  0.440  0.734
F  0.499  0.135  0.865
F  0.501  0.865  0.135
Ba  0.000  0.000  0.000



[4]
YSbW4 after structural relaxation. Source: the Alexandria database, functional PBE.

Properties
SG ... No. 216
Formation energy (no corrections) ... 0.350 eV per atom
Calculated volume ... 116 Å³/f.u.

abc: 5.472 5.472 5.472
angles: 60.00 60.00 60.00
Sites, in units of the cell vectors:
W  0.625  0.625  0.625
W  0.125  0.625  0.625
W  0.625  0.625  0.125
W  0.625  0.125  0.625
Y  0.250  0.250  0.250
Sb  0.000  0.000  0.000